[1]
Computed, not measured: a crystal of CaH2C2O5 relaxed with PBEsol at the SCAN level of DFT.

Total energy, eV/f.u.: -84.9
Density of states at the Fermi level, states/eV/cell: 0.00
Space-group type: C2
Calculated density, g/cm³: 2.17

a = 6.2401 Å, b = 6.2401 Å, c = 6.3280 Å
α = 103.71°, β = 103.71°, γ = 71.33°
With the nearest neighbours (Å) after each atom.
Atoms (fractional coordinates):
Ca 0.1894 0.1894 0.0028  8 O 2.37-2.51
Ca 0.8106 0.8106 0.9972  8 O 2.37-2.51
H 0.3133 0.2715 0.4748  1 O 1.00
H 0.5349 0.1262 0.3758  1 O 0.99
H 0.7285 0.6867 0.5252  1 O 1.00
H 0.8738 0.4651 0.6242  1 O 0.99
C 0.0433 0.0838 0.4576  2 O 1.26-1.27
C 0.3931 0.6069 0.0000  2 O 1.27
C 0.6071 0.3929 0.0000  2 O 1.27
C 0.9162 0.9567 0.5424  2 O 1.26-1.27
O 0.0395 0.0470 0.2531  1 C 1.26
O 0.1366 0.2213 0.6045  1 C 1.27
O 0.2037 0.5739 0.0017  1 C 1.27
O 0.4047 0.2651 0.3617  2 H 0.99-1.00
O 0.4261 0.7963 0.9983  1 C 1.27
O 0.5699 0.1995 0.9733  1 C 1.27
O 0.7349 0.5953 0.6383  2 H 0.99-1.00
O 0.7787 0.8634 0.3955  1 C 1.27
O 0.8005 0.4301 0.0267  1 C 1.27
O 0.9530 0.9605 0.7469  1 C 1.26



[2]
Computed, not measured: a crystal of Li2TePb relaxed with PBEsol at the SCAN level of DFT.

Formation energy from raw total energies, eV/atom: -0.599
Density of states at the Fermi level, states/eV/cell: 0.93
Space-group type: R3m
Calculated density, g/cm³: 5.95

a = 6.6047 Å, b = 6.6047 Å, c = 6.6047 Å
α = 37.83°, β = 37.83°, γ = 37.83°
With the nearest neighbours (Å) after each atom.
Atoms (fractional coordinates):
Li 0.0000 0.0000 0.0000  3 Te 2.72
Li 0.2074 0.2074 0.2074  3 Te 2.74
Te 0.6054 0.6054 0.6054  6 Li 2.72-2.74, 1 Pb 3.04
Pb 0.7710 0.7710 0.7710  1 Te 3.04, 6 Li 3.11-3.13



[3]
Computed, not measured: a crystal of In2TcIr relaxed with PBEsol at the SCAN level of DFT.

Density of states at the Fermi level, states/eV/cell: 4.67
Space-group type: F-43m
Calculated density, g/cm³: 12.76
Energy of formation, eV/atom: 0.48

a = 4.5741 Å, b = 4.5741 Å, c = 4.5741 Å
α = 60.00°, β = 60.00°, γ = 60.00°
With the nearest neighbours (Å) after each atom.
Atoms (fractional coordinates):
In 0.0000 0.0000 0.0000  4 Ir 2.80, 4 In 2.80
In 0.2500 0.2500 0.2500  4 Tc 2.80, 4 In 2.80
Tc 0.5000 0.5000 0.5000  4 Ir 2.80, 4 In 2.80
Ir 0.7500 0.7500 0.7500  4 Tc 2.80, 4 In 2.80



[4]
Computed, not measured: a crystal of La3Ta2N6 relaxed with PBEsol at the SCAN level of DFT.

Formation energy from raw total energies, eV/atom: -1.666
Density of states at the Fermi level, states/eV/cell: 1.38
Space-group type: I4/mmm
Calculated density, g/cm³: 8.76

a = 10.3828 Å, b = 10.3828 Å, c = 10.3828 Å
α = 157.52°, β = 157.52°, γ = 32.00°
With the nearest neighbours (Å) after each atom.
Atoms (fractional coordinates):
La 0.0000 0.0000 0.0000  8 N 2.64
La 0.1804 0.1804 0.0000  1 N 2.43
La 0.8196 0.8196 0.0000  1 N 2.43
Ta 0.3995 0.3995 0.0000  5 N 1.95-2.05
Ta 0.6005 0.6005 0.0000  5 N 1.95-2.05
N 0.0848 0.5848 0.5000  2 Ta 2.05
N 0.3021 0.3021 0.0000  1 Ta 1.95
N 0.4152 0.9152 0.5000  2 Ta 2.05
N 0.5848 0.0848 0.5000  2 Ta 2.05
N 0.6979 0.6979 0.0000  1 Ta 1.95
N 0.9152 0.4152 0.5000  2 Ta 2.05



[5]
Computed, not measured: a crystal of Tm2ZnHg relaxed with PBEsol at the SCAN level of DFT.

Density of states at the Fermi level, states/eV/cell: 2.20
Space-group type: Fm-3m
Calculated density, g/cm³: 11.26
Energy of formation, eV/atom: -0.58

a = 5.0124 Å, b = 5.0124 Å, c = 5.0124 Å
α = 60.00°, β = 60.00°, γ = 60.00°
With the nearest neighbours (Å) after each atom.
Atoms (fractional coordinates):
Tm 0.2500 0.2500 0.2500  4 Hg 3.07, 4 Zn 3.07
Tm 0.7500 0.7500 0.7500  4 Zn 3.07, 4 Hg 3.07
Zn 0.0000 0.0000 0.0000  8 Tm 3.07
Hg 0.5000 0.5000 0.5000  8 Tm 3.07



[6]
Computed, not measured: a crystal of LaBiOs2O relaxed with PBEsol at the SCAN level of DFT.

Formation energy from raw total energies, eV/atom: 1.870
Density of states at the Fermi level, states/eV/cell: 2.37
Space-group type: P4/mmm
Calculated density, g/cm³: 8.38

a = 4.8602 Å, b = 4.8602 Å, c = 6.2417 Å
α = 90.00°, β = 90.00°, γ = 90.00°
With the nearest neighbours (Å) after each atom.
Atoms (fractional coordinates):
La 0.0000 0.0000 0.0000  2 Bi 3.12, 4 O 3.44
Bi 0.0000 0.0000 0.5000  4 Os 2.43
Os 0.0000 0.5000 0.5000  2 Bi 2.43
Os 0.5000 0.0000 0.5000  2 Bi 2.43
O 0.5000 0.5000 0.0000  4 La 3.44



[7]
Computed, not measured: a crystal of Fe3ICl relaxed with PBEsol at the SCAN level of DFT.

Formation energy from raw total energies, eV/atom: 1.347
Density of states at the Fermi level, states/eV/cell: 4.49
Space-group type: Pm-3m
Calculated density, g/cm³: 5.15

a = 4.7387 Å, b = 4.7387 Å, c = 4.7387 Å
α = 90.00°, β = 90.00°, γ = 90.00°
With the nearest neighbours (Å) after each atom.
Atoms (fractional coordinates):
Fe 0.0000 0.0000 0.5000  2 I 2.37
Fe 0.0000 0.5000 0.0000  2 I 2.37
Fe 0.5000 0.0000 0.0000  2 I 2.37
I 0.0000 0.0000 0.0000  6 Fe 2.37
Cl 0.5000 0.5000 0.5000  12 Fe 3.35



[8]
Computed, not measured: a crystal of LaTePt4 relaxed with PBEsol at the SCAN level of DFT.

Formation energy from raw total energies, eV/atom: -0.691
Density of states at the Fermi level, states/eV/cell: 5.82
Space-group type: F-43m
Calculated density, g/cm³: 15.35

a = 5.4309 Å, b = 5.4309 Å, c = 5.4309 Å
α = 60.00°, β = 60.00°, γ = 60.00°
With the nearest neighbours (Å) after each atom.
Atoms (fractional coordinates):
La 0.0000 0.0000 0.0000  12 Pt 3.18, 4 Te 3.33
Te 0.7500 0.7500 0.7500  12 Pt 3.18, 4 La 3.33
Pt 0.3750 0.3750 0.3750  6 Pt 2.72
Pt 0.3750 0.3750 0.8749  6 Pt 2.72
Pt 0.3750 0.8749 0.3750  6 Pt 2.72
Pt 0.8749 0.3750 0.3750  6 Pt 2.72



[9]
Computed, not measured: a crystal of MgReSb2 relaxed with PBEsol at the SCAN level of DFT.

Formation energy from raw total energies, eV/atom: 0.247
Density of states at the Fermi level, states/eV/cell: 1.94
Space-group type: P4/mmm
Calculated density, g/cm³: 9.23

a = 3.2416 Å, b = 3.2416 Å, c = 7.7731 Å
α = 90.00°, β = 90.00°, γ = 90.00°
With the nearest neighbours (Å) after each atom.
Atoms (fractional coordinates):
Mg 0.0000 0.0000 0.0000  8 Sb 3.21, 4 Mg 3.24
Re 0.0000 0.0000 0.5000  8 Sb 2.82
Sb 0.5000 0.5000 0.2890  4 Re 2.82
Sb 0.5000 0.5000 0.7110  4 Re 2.82



[10]
Computed, not measured: a crystal of RbHgPPd2 relaxed with PBEsol at the SCAN level of DFT.

Density of states at the Fermi level, states/eV/cell: 4.51
Space-group type: P4/mmm
Calculated density, g/cm³: 7.88
Energy of formation, eV/atom: -0.18

a = 4.6570 Å, b = 4.6570 Å, c = 5.1500 Å
α = 90.00°, β = 90.00°, γ = 90.00°
With the nearest neighbours (Å) after each atom.
Atoms (fractional coordinates):
Rb 0.0000 0.0000 0.0000  4 Hg 3.29, 8 Pd 3.47
Hg 0.5000 0.5000 0.0000  2 P 2.58
P 0.5000 0.5000 0.5000  4 Pd 2.33, 2 Hg 2.58
Pd 0.0000 0.5000 0.5000  2 P 2.33
Pd 0.5000 0.0000 0.5000  2 P 2.33



[11]
Computed, not measured: a crystal of CaIn2Pb relaxed with PBEsol at the SCAN level of DFT.

Density of states at the Fermi level, states/eV/cell: 1.74
Space-group type: I4/mmm
Calculated density, g/cm³: 7.59
Energy of formation, eV/atom: -0.39

a = 5.9768 Å, b = 5.9768 Å, c = 5.9768 Å
α = 135.25°, β = 135.25°, γ = 65.14°
With the nearest neighbours (Å) after each atom.
Atoms (fractional coordinates):
Ca 0.0000 0.0000 0.0000  4 Pb 3.22, 8 In 3.39
In 0.2500 0.7500 0.5000  4 In 3.22, 4 Pb 3.39, 4 Ca 3.39
In 0.7500 0.2500 0.5000  4 In 3.22, 4 Pb 3.39, 4 Ca 3.39
Pb 0.5000 0.5000 0.0000  4 Ca 3.22, 8 In 3.39



[12]
Computed, not measured: a crystal of NiIrW2 relaxed with PBEsol at the SCAN level of DFT.

Density of states at the Fermi level, states/eV/cell: 2.62
Space-group type: Cmmm
Calculated density, g/cm³: 18.37
Energy of formation, eV/atom: -0.12

a = 4.7025 Å, b = 4.7025 Å, c = 2.7067 Å
α = 90.00°, β = 90.00°, γ = 110.87°
With the nearest neighbours (Å) after each atom.
Atoms (fractional coordinates):
Ni 0.0000 0.0000 0.0000  2 Ir 2.67, 2 Ni 2.71, 8 W 2.71
Ir 0.5000 0.5000 0.0000  2 Ni 2.67, 2 Ir 2.71, 8 W 2.71
W 0.0000 0.5000 0.5000  4 W 2.67-2.71, 4 Ni 2.71, 4 Ir 2.71
W 0.5000 0.0000 0.5000  4 W 2.67-2.71, 4 Ni 2.71, 4 Ir 2.71



[13]
Computed, not measured: a crystal of SrLaNi2 relaxed with PBEsol at the SCAN level of DFT.

Density of states at the Fermi level, states/eV/cell: 1.89
Space-group type: Pmm2
Calculated density, g/cm³: 5.97
Energy of formation, eV/atom: 0.17

a = 4.0739 Å, b = 4.0842 Å, c = 5.7516 Å
α = 90.00°, β = 90.00°, γ = 90.00°
With the nearest neighbours (Å) after each atom.
Atoms (fractional coordinates):
Sr 0.0000 0.0000 0.0000  6 Ni 2.87-2.88
La 0.5000 0.5000 0.4986  6 Ni 2.87-2.89
Ni 0.0000 0.0000 0.5003  2 Sr 2.87-2.88, 4 La 2.88
Ni 0.5000 0.5000 0.9968  2 La 2.87-2.89, 4 Sr 2.88



[14]
Computed, not measured: a crystal of TlTc2Au relaxed with PBEsol at the SCAN level of DFT.

Density of states at the Fermi level, states/eV/cell: 2.25
Space-group type: P4mm
Calculated density, g/cm³: 14.56
Energy of formation, eV/atom: 0.25

a = 2.9199 Å, b = 2.9199 Å, c = 7.9910 Å
α = 90.00°, β = 90.00°, γ = 90.00°
With the nearest neighbours (Å) after each atom.
Atoms (fractional coordinates):
Tl 0.0000 0.0000 0.0000  4 Tl 2.92, 4 Tc 3.01, 4 Au 3.10
Tc 0.0000 0.0000 0.5453  4 Tc 2.52
Tc 0.5000 0.5000 0.7261  4 Tc 2.52
Au 0.5000 0.5000 0.2900  4 Tc 2.90, 4 Au 2.92, 4 Tl 3.10